SrNiRuSe2 | PBE-GGA | relaxed

Cell: 4.891 4.658 4.891 Å, 90.00 90.00 90.00°
Site moments in Bohr magnetons follow the coordinates.
Positions (direct):
Ru (0.000, 0.500, 0.000)  2.07
Ni (0.000, 0.000, 0.000)  0.38
Se (0.000, 0.000, 0.500)  0.04
Se (0.500, 0.000, 0.000)  0.03
Sr (0.500, 0.500, 0.500)  -0.01

Uncorrected formation energy ... -0.17 eV per formula unit
N(E_F) ... 4.45 states/eV per cell
Electronic total energy ... -4.775 eV per atom



Th8NiRu3Se4 | PBE-GGA | relaxed

Cell: 8.177 8.741 8.178 Å, 117.89 120.00 90.00°
Positions (direct):
Th (0.238, 0.713, 0.975)
Th (0.238, 0.713, 0.476)
Th (0.261, 0.283, 0.522)
Th (0.736, 0.713, 0.975)
Th (0.264, 0.287, 0.025)
Th (0.739, 0.717, 0.478)
Th (0.762, 0.287, 0.524)
Th (0.762, 0.287, 0.025)
Ni (0.000, 0.500, 0.000)
Ru (0.500, 0.500, 0.000)
Ru (0.500, 0.500, 0.500)
Ru (0.000, 0.500, 0.500)
Se (0.500, 0.000, 0.000)
Se (0.500, 0.000, 0.500)
Se (0.000, 0.000, 0.000)
Se (0.000, 0.000, 0.500)

Uncorrected formation energy ... -16.68 eV per formula unit
N(E_F) ... 8.57 states/eV per cell
Electronic total energy ... -7.724 eV per atom



> Which of these has the highest uncorrected formation energy?

SrNiRuSe2



> What is the electronic total energy in the second record?

-7.724 eV per atom



What did the first record say?
SrNiRuSe2 | PBE-GGA | relaxed

Cell: 4.891 4.658 4.891 Å, 90.00 90.00 90.00°
Site moments in Bohr magnetons follow the coordinates.
Positions (direct):
Ru (0.000, 0.500, 0.000)  2.07
Ni (0.000, 0.000, 0.000)  0.38
Se (0.000, 0.000, 0.500)  0.04
Se (0.500, 0.000, 0.000)  0.03
Sr (0.500, 0.500, 0.500)  -0.01

Uncorrected formation energy ... -0.17 eV per formula unit
N(E_F) ... 4.45 states/eV per cell
Electronic total energy ... -4.775 eV per atom



> Which of these has the highest uncorrected formation energy?

SrNiRuSe2